DFT (PBE) results for a relaxed CsTlSe2 crystal.

a b c (Å): 7.141 7.141 12.093
angles (deg): 90.00 90.00 90.00
Space group I4_1/amd (No. 141, origin choice 2)
Symmetry-distinct sites (fractional):
Cs1 0.000 0.250 0.375 [4 per cell]
Tl1 0.000 0.250 0.875 [4 per cell]
Se1 0.000 0.250 0.084 [8 per cell]

Total DFT energy (no corrections) ... -12.3 eV/f.u.
V ... 38.540 Å³ per atom